1.
VASP calculation (GGA-PBE) on Ta2AlSi after structural relaxation.

Calculated values
energy above the lowest structure with this stoichiometry	11	meV/atom
total moment	0.0000	μB per atom
crystal system	orthorhombic
calculated volume	16.2	Å³/atom

Cell lengths 4.9900, 4.9900, 4.9900 Å; angles 138.69, 126.20, 70.02 degrees
Element x y z (fractional)
Ta: 0.2399 0.2399 0.0000
Ta: 0.7601 0.7601 0.0000
Al: 0.5000 0.0000 0.5000
Si: 0.0000 0.5000 0.5000

***

2.
VASP calculation (GGA-PBE) on PaTaMnSi2 after structural relaxation.

Calculated values
total moment	0.4293	μB per atom
crystal system	tetragonal
calculated volume	17.3	Å³/atom
calculated total energy	-43.6	eV/cell

Cell lengths 6.2440, 6.2440, 6.2440 Å; angles 143.23, 143.23, 52.98 degrees
Element x y z (fractional)
Pa: 0.0000 0.0000 0.0000
Ta: 0.2500 0.7500 0.5000
Mn: 0.7500 0.2500 0.5000
Si: 0.3935 0.3935 0.0000
Si: 0.6065 0.6065 0.0000

***

3.
VASP calculation (GGA-PBE) on NbCrCo6 after structural relaxation.

Calculated values
total moment	0.3263	μB per atom
crystal system	orthorhombic
calculated volume	11.5	Å³/atom
formation enthalpy at 0 K	-0.047	eV/atom

Cell lengths 6.2105, 6.2105, 10.1441 Å; angles 90.00, 90.00, 109.50 degrees
Element x y z (fractional)
Nb: 0.0000 0.0000 0.2501
Nb: 0.0000 0.0000 0.7499
Nb: 0.2460 0.7540 0.0000
Nb: 0.7540 0.2460 0.0000
Cr: 0.2448 0.7552 0.5000
Cr: 0.5000 0.5000 0.2501
Cr: 0.5000 0.5000 0.7499
Cr: 0.7552 0.2448 0.5000
Co: 0.0000 0.0000 0.0000
Co: 0.0000 0.0000 0.5000
Co: 0.1287 0.3847 0.3797
Co: 0.1287 0.3847 0.6203
Co: 0.1361 0.3812 0.1301
Co: 0.1361 0.3812 0.8699
Co: 0.2552 0.7448 0.2590
Co: 0.2552 0.7448 0.7410
Co: 0.3812 0.1361 0.1301
Co: 0.3812 0.1361 0.8699
Co: 0.3847 0.1287 0.3797
Co: 0.3847 0.1287 0.6203
Co: 0.5000 0.5000 0.0000
Co: 0.5000 0.5000 0.5000
Co: 0.6153 0.8713 0.3797
Co: 0.6153 0.8713 0.6203
Co: 0.6188 0.8639 0.1301
Co: 0.6188 0.8639 0.8699
Co: 0.7448 0.2552 0.2590
Co: 0.7448 0.2552 0.7410
Co: 0.8639 0.6188 0.1301
Co: 0.8639 0.6188 0.8699
Co: 0.8713 0.6153 0.3797
Co: 0.8713 0.6153 0.6203

***

4.
VASP calculation (GGA-PBE) on Mn2TeOs after structural relaxation.

Calculated values
total moment	0.9678	μB per atom
crystal system	cubic
calculated volume	14.7	Å³/atom
calculated total energy	-31.0	eV/cell

Cell lengths 4.3638, 4.3638, 4.3638 Å; angles 60.00, 60.00, 60.00 degrees
Element x y z (fractional)
Mn: 0.0000 0.0000 0.0000
Mn: 0.2500 0.2500 0.2500
Te: 0.5000 0.5000 0.5000
Os: 0.7500 0.7500 0.7500

***

5.
VASP calculation (GGA-PBE) on TmAg2Se2 after structural relaxation.

Calculated values
total moment	0.0000	μB per atom
crystal system	monoclinic
calculated volume	22.5	Å³/atom
calculated total energy	-40.7	eV/cell

Cell lengths 5.5568, 5.5568, 8.1916 Å; angles 108.68, 108.68, 77.05 degrees
Element x y z (fractional)
Tm: 0.1545 0.8455 0.7500
Tm: 0.8455 0.1545 0.2500
Ag: 0.0000 0.5000 0.0000
Ag: 0.5000 0.0000 0.5000
Ag: 0.5000 0.5000 0.0000
Ag: 0.5000 0.5000 0.5000
Se: 0.1124 0.2924 0.6347
Se: 0.2924 0.1124 0.1347
Se: 0.7076 0.8876 0.8653
Se: 0.8876 0.7076 0.3653

***

6.
VASP calculation (GGA-PBE) on MgScTa2 after structural relaxation.

Calculated values
total moment	0.0001	μB per atom
crystal system	trigonal
calculated volume	19.9	Å³/atom
formation enthalpy at 0 K	0.267	eV/atom

Cell lengths 10.3969, 10.3969, 10.3969 Å; angles 16.56, 16.56, 16.56 degrees
Element x y z (fractional)
Mg: 0.0000 0.0000 0.0000
Sc: 0.5000 0.5000 0.5000
Ta: 0.2500 0.2500 0.2500
Ta: 0.7500 0.7500 0.7500

***

7.
VASP calculation (GGA-PBE) on SiOsPt2 after structural relaxation.

Calculated values
total moment	0.0000	μB per atom
crystal system	orthorhombic
calculated volume	14.9	Å³/atom
calculated total energy	-29.3	eV/cell

Cell lengths 5.5098, 5.5098, 5.5098 Å; angles 150.15, 134.08, 55.74 degrees
Element x y z (fractional)
Si: 0.0000 0.0000 0.0000
Os: 0.8047 0.3047 0.5000
Pt: 0.2064 0.7064 0.5000
Pt: 0.5110 0.5110 0.0000

***

8.
VASP calculation (GGA-PBE) on NdSi2Ag after structural relaxation.

Calculated values
total moment	0.0000	μB per atom
crystal system	orthorhombic
calculated volume	20.1	Å³/atom
calculated total energy	-81.6	eV/cell

Cell lengths 6.8948, 4.2489, 10.9829 Å; angles 90.00, 90.00, 90.00 degrees
Element x y z (fractional)
Nd: 0.1441 0.2500 0.1470
Nd: 0.3559 0.7500 0.6470
Nd: 0.6441 0.2500 0.3530
Nd: 0.8559 0.7500 0.8530
Si: 0.0277 0.2500 0.6631
Si: 0.1771 0.2500 0.8556
Si: 0.3229 0.7500 0.3556
Si: 0.4723 0.7500 0.1631
Si: 0.5277 0.2500 0.8369
Si: 0.6771 0.2500 0.6444
Si: 0.8229 0.7500 0.1444
Si: 0.9723 0.7500 0.3369
Ag: 0.1521 0.2500 0.4436
Ag: 0.3479 0.7500 0.9436
Ag: 0.6521 0.2500 0.0564
Ag: 0.8479 0.7500 0.5564

***

9.
VASP calculation (GGA-PBE) on LiIn2Re after structural relaxation.

Calculated values
energy above the lowest structure with this stoichiometry	0	meV/atom
total moment	0.0000	μB per atom
crystal system	monoclinic
calculated volume	18.0	Å³/atom
formation enthalpy at 0 K	0.232	eV/atom

Cell lengths 2.8910, 4.1492, 5.9934 Å; angles 90.00, 90.08, 90.00 degrees
Element x y z (fractional)
Li: 0.0000 0.0000 0.0000
In: 0.4993 0.5000 0.2521
In: 0.5007 0.5000 0.7479
Re: 0.0000 0.0000 0.5000

***

10.
VASP calculation (GGA-PBE) on SrIn2SnRh after structural relaxation.

Calculated values
total moment	0.0000	μB per atom
crystal system	tetragonal
calculated volume	27.9	Å³/atom
formation enthalpy at 0 K	-0.308	eV/atom

Cell lengths 5.1799, 5.1799, 5.1966 Å; angles 90.00, 90.00, 90.00 degrees
Element x y z (fractional)
Sr: 0.0000 0.0000 0.0000
In: 0.0000 0.5000 0.5000
In: 0.5000 0.0000 0.5000
Sn: 0.5000 0.5000 0.0000
Rh: 0.5000 0.5000 0.5000

***

11.
VASP calculation (GGA-PBE) on Th3BiIr after structural relaxation.

Calculated values
energy above the lowest structure with this stoichiometry	0	meV/atom
total moment	0.0000	μB per atom
crystal system	orthorhombic
calculated volume	30.1	Å³/atom
formation enthalpy at 0 K	-0.651	eV/atom

Cell lengths 8.9305, 4.3733, 15.4004 Å; angles 90.00, 90.00, 90.00 degrees
Element x y z (fractional)
Th: 0.0228 0.2500 0.1055
Th: 0.1539 0.2500 0.5063
Th: 0.1836 0.7500 0.2768
Th: 0.3164 0.2500 0.7768
Th: 0.3461 0.7500 0.0063
Th: 0.4772 0.7500 0.6055
Th: 0.5228 0.2500 0.3945
Th: 0.6539 0.2500 0.9937
Th: 0.6836 0.7500 0.2232
Th: 0.8164 0.2500 0.7232
Th: 0.8461 0.7500 0.4937
Th: 0.9772 0.7500 0.8945
Bi: 0.0929 0.7500 0.6749
Bi: 0.4071 0.2500 0.1749
Bi: 0.5929 0.7500 0.8251
Bi: 0.9071 0.2500 0.3251
Ir: 0.1775 0.2500 0.9371
Ir: 0.3225 0.7500 0.4371
Ir: 0.6775 0.2500 0.5629
Ir: 0.8225 0.7500 0.0629

***

12.
VASP calculation (GGA-PBE) on NaTlCd2 after structural relaxation.

Calculated values
energy above the lowest structure with this stoichiometry	79	meV/atom
total moment	0.0000	μB per atom
crystal system	trigonal
calculated volume	26.9	Å³/atom
formation enthalpy at 0 K	0.020	eV/atom

Cell lengths 10.8051, 10.8051, 10.8051 Å; angles 18.20, 18.20, 18.20 degrees
Element x y z (fractional)
Na: 0.0000 0.0000 0.0000
Tl: 0.1667 0.1667 0.1667
Cd: 0.4152 0.4152 0.4152
Cd: 0.5849 0.5849 0.5849